! BaScRu2 (PBE-GGA, relaxed); values from VASP
&SYSTEM
  ibrav = 0, nat = 4, ntyp = 3
/
ATOMIC_SPECIES
Ru 101.07 Ru.upf
Ba 137.33 Ba.upf
Sc 44.96 Sc.upf
CELL_PARAMETERS angstrom
4.380 -0.026 0.015
2.278 3.741 0.015
2.166 1.209 6.599
ATOMIC_POSITIONS crystal
Ru 0.270 0.270 0.173
Ru 0.950 0.950 0.170
Ba 0.730 0.730 0.805
Sc 0.550 0.550 0.353
! Energy of formation from the pure elements (eV/atom): 0.1141
! Space group: No. 8
! Theoretical density (g/cm³): 5.89
! VASP energy (eV/cell): -26.3